## Cr2PtCl (PBE)

Data for a relaxed structure of Cr2PtCl.

Output
energy above the most stable polymorph in this dataset	0.00	eV/f.u.
total magnetic moment	7.8	μB per cell
ΔE_f (raw)	-0.0062	eV per atom
N(E_F)	4.4	states/eV/f.u.
space group	Pmmm, No. 47

POSCAR file:
```
Cr2PtCl
1.0
-0.384 0.864 -3.007
-0.862 -3.012 -0.755
-6.692 1.585 1.309
Cr Pt Cl
2 1 1
Cartesian
-3.745 -1.525 0.040
-0.894 -2.201 -0.518
-2.080 0.075 -1.365
-5.857 -0.638 -1.088
```